Entry from the Alexandria database: crystalline Mg3BiPd12 at its relaxed geometry (GGA-PBE).

Calculated values
- calculated total energy (eV per atom) = -4.864
- space group = P4/mmm
- formation energy from the elements (kJ per mole of atoms) = -41.3

a = 4.0196 Å, b = 4.0196 Å, c = 15.9672 Å
α = 90.00°, β = 90.00°, γ = 90.00°
With the nearest neighbours (Å) after each atom.
Element x y z (fractional)
Mg1 0.0000 0.0000 0.0000  12 Pd 2.79-2.84
Mg2 0.0000 0.0000 0.2433  12 Pd 2.80-2.84
Mg3 0.0000 0.0000 0.7567  12 Pd 2.80-2.84
Bi1 0.0000 0.0000 0.5000  12 Pd 2.84-2.93
Pd1 0.0000 0.5000 0.1215  8 Pd 2.79-2.84, 4 Mg 2.79-2.80
Pd2 0.0000 0.5000 0.3667  8 Pd 2.80-2.93, 2 Mg 2.81, 2 Bi 2.93
Pd3 0.0000 0.5000 0.6333  8 Pd 2.80-2.93, 2 Mg 2.81, 2 Bi 2.93
Pd4 0.0000 0.5000 0.8785  4 Mg 2.79-2.80, 8 Pd 2.79-2.84
Pd5 0.5000 0.0000 0.1215  8 Pd 2.79-2.84, 4 Mg 2.79-2.80
Pd6 0.5000 0.0000 0.3667  8 Pd 2.80-2.93, 2 Mg 2.81, 2 Bi 2.93
Pd7 0.5000 0.0000 0.6333  8 Pd 2.80-2.93, 2 Mg 2.81, 2 Bi 2.93
Pd8 0.5000 0.0000 0.8785  4 Mg 2.79-2.80, 8 Pd 2.79-2.84
Pd9 0.5000 0.5000 0.0000  8 Pd 2.79, 4 Mg 2.84
Pd10 0.5000 0.5000 0.2442  8 Pd 2.80-2.81, 4 Mg 2.84
Pd11 0.5000 0.5000 0.5000  4 Bi 2.84, 8 Pd 2.93
Pd12 0.5000 0.5000 0.7558  8 Pd 2.80-2.81, 4 Mg 2.84